Material: Be2AgCl
Method: DFT, PBE
State: relaxed

It has space group Pm (No. 6), with a = 3.1210 Å, b = 2.9301 Å, c = 8.0287 Å, α = 90.00°, β = 98.96° and γ = 90.00°. The distinct sites, in fractional coordinates, are Be at (0.0000, 0.0000, 0.0000), Be at (0.4259, 0.5000, 0.8224), Ag at (0.5587, 0.5000, 0.1472) and Cl at (0.3577, 0.0000, 0.6497).

Its volume is 72.53 Å³ per cell. The value obtained for the total energy is -3.00 eV/atom. Its crystal system is monoclinic. The offset from the most stable computed form comes out at 0 meV/atom. As for the magnetic moment: 0.00 μB per cell. As for the uncorrected formation energy: 36 meV/atom.